(1)
# GGA-PBE Li2TaPb, relaxed
# Energy relative to the elements, eV/atom: 0.422
# Total magnetic moment, μB/f.u.: 0.000
data_Li2TaPb
_symmetry_space_group_name_H-M 'I 4/m m m'
_symmetry_Int_Tables_number 139
_symmetry_space_group_name_Hall '-I 4 2'
_cell_length_a 4.036
_cell_length_b 4.036
_cell_length_c 9.769
_cell_angle_alpha 90.00
_cell_angle_beta 90.00
_cell_angle_gamma 90.00
loop_
_atom_site_label
_atom_site_fract_x
_atom_site_fract_y
_atom_site_fract_z
Li1 0.000 0.500 0.250
Ta1 0.000 0.000 0.000
Pb1 0.000 0.000 0.500


(2)
# GGA-PBE In2CoRh, relaxed
# Energy relative to the elements, eV/atom: 0.013
# Total magnetic moment, μB/f.u.: 1.325
data_In2CoRh
_symmetry_space_group_name_H-M 'I m m 2'
_symmetry_Int_Tables_number 44
_cell_length_a 3.102
_cell_length_b 4.441
_cell_length_c 9.780
_cell_angle_alpha 90.00
_cell_angle_beta 90.00
_cell_angle_gamma 90.00
loop_
_symmetry_equiv_pos_as_xyz
'x,y,z'
'-x,-y,z'
'-x,y,z'
'x,-y,z'
'x+1/2,y+1/2,z+1/2'
'-x+1/2,-y+1/2,z+1/2'
'-x+1/2,y+1/2,z+1/2'
'x+1/2,-y+1/2,z+1/2'
loop_
_atom_site_label
_atom_site_fract_x
_atom_site_fract_y
_atom_site_fract_z
In1 0.000 0.000 0.000
In2 0.000 0.500 0.219
Co1 0.000 0.000 0.482
Rh1 0.000 0.500 0.762


(3)
# GGA-PBE Be2VCdFe, relaxed
# Energy relative to the elements, eV/atom: 0.581
# Total magnetic moment, μB/f.u.: 0.001
data_Be2VCdFe
_symmetry_space_group_name_H-M 'P 4/m m m'
_symmetry_Int_Tables_number 123
_symmetry_space_group_name_Hall '-P 4 2'
_cell_length_a 4.169
_cell_length_b 4.169
_cell_length_c 4.098
_cell_angle_alpha 90.00
_cell_angle_beta 90.00
_cell_angle_gamma 90.00
loop_
_atom_site_label
_atom_site_fract_x
_atom_site_fract_y
_atom_site_fract_z
Be1 0.000 0.500 0.000
V1 0.000 0.000 0.500
Cd1 0.500 0.500 0.500
Fe1 0.000 0.000 0.000


(4)
# GGA-PBE Ba2LaPt, relaxed
# Energy above the most stable polymorph in this dataset, meV per atom: 289
# Energy relative to the elements, eV/atom: -0.288
# Total magnetic moment, μB/f.u.: 0.000
data_Ba2LaPt
_symmetry_space_group_name_H-M 'I -4 2 d'
_symmetry_Int_Tables_number 122
_symmetry_space_group_name_Hall 'I -4 2bw'
_cell_length_a 11.793
_cell_length_b 11.793
_cell_length_c 5.544
_cell_angle_alpha 90.00
_cell_angle_beta 90.00
_cell_angle_gamma 90.00
loop_
_atom_site_label
_atom_site_fract_x
_atom_site_fract_y
_atom_site_fract_z
Ba1 0.109 0.250 0.125
La1 0.000 0.000 0.500
Pt1 0.000 0.000 0.000


(5)
# GGA-PBE KBi2PtO6, relaxed
# Formation energy without anion corrections, kJ/mol of formula units: -975
# Total magnetic moment, μB/f.u.: 0.000
data_KBi2PtO6
_symmetry_space_group_name_H-M 'R 3'
_symmetry_Int_Tables_number 146
_symmetry_space_group_name_Hall 'R 3'
_cell_length_a 5.8355
_cell_length_b 5.8355
_cell_length_c 16.2062
_cell_angle_alpha 90.00
_cell_angle_beta 90.00
_cell_angle_gamma 120.00
loop_
_atom_site_label
_atom_site_fract_x
_atom_site_fract_y
_atom_site_fract_z
K1 0.0000 0.0000 0.0000
Bi1 0.0000 0.0000 0.2603
Bi2 0.0000 0.0000 0.7837
Pt1 0.0000 0.0000 0.4604
O1 0.0366 0.3610 0.1945
O2 0.0405 0.6073 0.0479


(6)
# GGA-PBE KInPb2, relaxed
# Energy relative to the elements, eV/atom: -0.060
# Total magnetic moment, μB/f.u.: 0.000
data_KInPb2
_symmetry_space_group_name_H-M 'P 4/n m m'
_symmetry_Int_Tables_number 129
_cell_length_a 4.996
_cell_length_b 4.996
_cell_length_c 11.209
_cell_angle_alpha 90.00
_cell_angle_beta 90.00
_cell_angle_gamma 90.00
loop_
_symmetry_equiv_pos_as_xyz
'x,y,z'
'-x,-y,-z'
'-y+1/2,x,z'
'y+1/2,-x,-z'
'-x+1/2,-y+1/2,z'
'x+1/2,y+1/2,-z'
'y,-x+1/2,z'
'-y,x+1/2,-z'
'x+1/2,-y,-z'
'-x+1/2,y,z'
'-y,-x,-z'
'y,x,z'
'-x,y+1/2,-z'
'x,-y+1/2,z'
'y+1/2,x+1/2,-z'
'-y+1/2,-x+1/2,z'
loop_
_atom_site_label
_atom_site_fract_x
_atom_site_fract_y
_atom_site_fract_z
K1 0.250 0.250 0.247
In1 0.250 0.250 0.673
Pb1 0.250 0.250 0.949
Pb2 0.250 0.750 0.500


> Which of these has the highest total magnetic moment?

In2CoRh